An optimized crystal structure of Ni3Pd5, computed with PBE.

It has space group P4/mmm (No. 123), with a = 2.744 Å, b = 2.744 Å, c = 14.725 Å, α = 90.00°, β = 90.00° and γ = 90.00°. Symmetry generates all atoms from Ni at (0.000, 0.000, 0.000), Ni at (0.500, 0.500, 0.379), Pd at (0.000, 0.000, 0.260), Pd at (0.000, 0.000, 0.500) and Pd at (0.500, 0.500, 0.119).

Its crystal system is tetragonal. The value obtained for the density of states at the Fermi level is 1.69 states/eV per atom. The calculation puts the density at 10.603 g/cm3. The value obtained for the energy of formation is 18 meV/atom.